A plane-wave DFT calculation with PBE+U was carried out for a relaxed Ta2CrNO5 crystal.

Unit cell a=4.755 b=4.764 c=9.264 alpha=90.47 beta=90.00 gamma=90.00
Each line ends with the local moment (μB).
Fractional positions:
O 0.804 0.051 0.422  -0.01
O 0.693 0.553 0.915  -0.02
O 0.193 0.447 0.085  -0.02
O 0.700 0.553 0.577  -0.01
O 0.696 0.548 0.257  -0.02
O 0.200 0.447 0.423  -0.01
O 0.196 0.452 0.743  -0.02
O 0.305 0.938 0.254  -0.02
O 0.304 0.949 0.578  -0.01
O 0.805 0.062 0.746  -0.02
Ta 0.509 0.746 0.411  0.03
Ta 0.495 0.768 0.067  0.04
Ta 0.009 0.254 0.589  0.03
Ta 0.995 0.232 0.933  0.04
N 0.298 0.948 0.913  -0.03
N 0.798 0.052 0.087  -0.03
Cr 0.500 0.753 0.747  2.96
Cr 0.000 0.247 0.253  2.96

Calculated values
**Crystal system**: monoclinic
**Space group**: P2_1 (4)
**Total DFT energy (no corrections)**: -169.30 eV for the cell shown